DFT (GGA-PBE) results for a relaxed Cd6SnO8 crystal.

Properties
- crystal system = cubic

a = 9.397 Å, b = 9.397 Å, c = 9.397 Å
α = 90.00°, β = 90.00°, γ = 90.00°
Space group Fm-3m (No. 225)
Unique sites:
Cd: 0.000 0.250 0.250 [24 per cell]
Sn: 0.000 0.000 0.000 [4 per cell]
O: 0.000 0.000 0.224 [24 per cell]
O: 0.250 0.250 0.250 [8 per cell]



DFT (GGA-PBE) results for a relaxed Cd2SnO3 crystal.

Properties
- crystal system = trigonal

a = 3.4294 Å, b = 3.4294 Å, c = 8.3715 Å
α = 90.00°, β = 90.00°, γ = 120.00°
Space group P-3m1 (No. 164)
Unique sites:
Cd: 0.3333 0.6667 0.1577 [2 per cell]
Sn: 0.0000 0.0000 0.5000 [1 per cell]
O: 0.0000 0.0000 0.0000 [1 per cell]
O: 0.3333 0.6667 0.6837 [2 per cell]



DFT (GGA-PBE) results for a relaxed CdSn2O4 crystal.

Properties
- crystal system = cubic

a = 9.494 Å, b = 9.494 Å, c = 9.494 Å
α = 90.00°, β = 90.00°, γ = 90.00°
Space group Fd-3m (No. 227, origin choice 2)
Unique sites:
Cd: 0.125 0.125 0.125 [8 per cell]
Sn: 0.000 0.000 0.500 [16 per cell]
O: 0.014 0.014 0.736 [32 per cell]



DFT (GGA-PBE) results for a relaxed Cd2SnO4 crystal.

Properties
- crystal system = cubic

a = 9.207 Å, b = 9.207 Å, c = 9.207 Å
α = 90.00°, β = 90.00°, γ = 90.00°
Space group Fd-3m (No. 227, origin choice 2)
Unique sites:
Cd: 0.000 0.000 0.000 [16 per cell]
Sn: 0.125 0.125 0.625 [8 per cell]
O: 0.000 0.000 0.250 [32 per cell]



DFT (GGA-PBE) results for a relaxed Zn3CdSn4O12 crystal.

Properties
- crystal system = cubic

a = 7.741 Å, b = 7.741 Å, c = 7.741 Å
α = 90.00°, β = 90.00°, γ = 90.00°
Space group Im-3 (No. 204)
Unique sites:
Zn: 0.000 0.000 0.500 [6 per cell]
Cd: 0.000 0.000 0.000 [2 per cell]
Sn: 0.250 0.250 0.250 [8 per cell]
O: 0.000 0.306 0.177 [24 per cell]



DFT (GGA-PBE) results for a relaxed SrCdO3 crystal.

Properties
- crystal system = orthorhombic

a = 5.978 Å, b = 8.170 Å, c = 5.820 Å
α = 90.00°, β = 90.00°, γ = 90.00°
Space group Pnma (No. 62)
Unique sites:
Sr: 0.050 0.250 0.012 [4 per cell]
Cd: 0.000 0.000 0.500 [4 per cell]
O: 0.041 0.750 0.407 [4 per cell]
O: 0.209 0.547 0.794 [8 per cell]



DFT (GGA-PBE) results for a relaxed SrCdO3 crystal.

Properties
- crystal system = trigonal

a = 5.8209 Å, b = 5.8209 Å, c = 15.7868 Å
α = 90.00°, β = 90.00°, γ = 120.00°
Space group R-3 (No. 148, hexagonal axes)
Unique sites:
Sr: 0.0000 0.0000 0.1305 [6 per cell]
Cd: 0.0000 0.0000 0.3466 [6 per cell]
O: 0.0260 0.4073 0.9205 [18 per cell]



DFT (GGA-PBE) results for a relaxed SrCdO3 crystal.

Properties
- crystal system = trigonal

a = 6.2047 Å, b = 6.2047 Å, c = 14.9043 Å
α = 90.00°, β = 90.00°, γ = 120.00°
Space group R-3c (No. 167, hexagonal axes)
Unique sites:
Sr: 0.0000 0.0000 0.0000 [6 per cell]
Cd: 0.0000 0.0000 0.2500 [6 per cell]
O: 0.0000 0.3345 0.2500 [18 per cell]



DFT (GGA-PBE) results for a relaxed SrCdO3 crystal.

Properties
- crystal system = tetragonal

a = 4.123 Å, b = 4.123 Å, c = 4.159 Å
α = 90.00°, β = 90.00°, γ = 90.00°
Space group P4mm (No. 99)
Unique sites:
Sr: 0.000 0.000 0.000 [1 per cell]
Cd: 0.500 0.500 0.524 [1 per cell]
O: 0.000 0.500 0.559 [2 per cell]
O: 0.500 0.500 0.026 [1 per cell]



DFT (GGA-PBE) results for a relaxed SrCdO3 crystal.

Properties
- crystal system = trigonal

a = 5.9746 Å, b = 5.9746 Å, c = 13.6541 Å
α = 90.00°, β = 90.00°, γ = 120.00°
Space group R-3c (No. 167, hexagonal axes)
Unique sites:
Sr: 0.0000 0.0000 0.2500 [6 per cell]
Cd: 0.0000 0.0000 0.0000 [6 per cell]
O: 0.0000 0.4168 0.2500 [18 per cell]



DFT (GGA-PBE) results for a relaxed SrCdO3 crystal.

Properties
- crystal system = orthorhombic

a = 6.309 Å, b = 7.660 Å, c = 6.266 Å
α = 90.00°, β = 90.00°, γ = 90.00°
Space group Pnma (No. 62)
Unique sites:
Sr: 0.000 0.000 0.000 [4 per cell]
Cd: 0.032 0.250 0.476 [4 per cell]
O: 0.174 0.750 0.806 [4 per cell]
O: 0.221 0.650 0.283 [8 per cell]



DFT (GGA-PBE) results for a relaxed SrCdO3 crystal.

Properties
- crystal system = tetragonal

a = 4.344 Å, b = 4.344 Å, c = 4.784 Å
α = 90.00°, β = 90.00°, γ = 90.00°
Space group P4mm (No. 99)
Unique sites:
Sr: 0.000 0.000 0.000 [1 per cell]
Cd: 0.500 0.500 0.329 [1 per cell]
O: 0.000 0.000 0.504 [1 per cell]
O: 0.000 0.500 0.209 [2 per cell]



Looking at uncorrected energy for the records above, in order, we have -4.427 -4.384 -5.260 -4.879 -5.416 -4.736 -4.654 -4.436 -4.651 -4.724 -4.835 -4.259 eV per atom.